Below is NdPtS2O8 after structural relaxation, with properties calculated at the PBE-GGA level.

Cell and atoms, written as extended XYZ:
```
12
Lattice="5.1891 0.0000 0.0000 -2.5946 4.4939 0.0000 0.0000 0.0000 7.6623" Properties=species:S:1:pos:R:3 pbc="T T T"
Nd 0.0000 0.0000 0.0000
Pt 0.0000 0.0000 3.8312
S 0.0000 2.9960 1.4768
S 2.5946 1.4980 6.1855
O 0.0000 1.5775 1.9307
O -1.2285 3.7052 1.9307
O 0.0000 2.9960 7.6327
O 1.3661 0.7887 5.7316
O 1.2285 3.7052 1.9307
O 2.5946 1.4980 0.0296
O 3.8230 0.7887 5.7316
O 2.5946 2.9165 5.7316
```

Values from the calculation:
Formation energy without anion corrections   -1408 meV per atom

=====

Below is Nd2SmPtO5 after structural relaxation, with properties calculated at the PBE-GGA level.

Cell and atoms, written as extended XYZ:
```
18
Lattice="6.7190 0.0000 0.0000 0.0000 6.7190 0.0000 0.0000 0.0000 5.8505" Properties=species:S:1:pos:R:3 pbc="T T T"
Nd 1.1284 2.2311 0.0000
Nd 2.2311 5.5905 0.0000
Nd 4.4879 1.1284 0.0000
Nd 5.5905 4.4879 0.0000
Sm 0.0000 0.0000 2.9252
Sm 3.3595 3.3595 2.9252
Pt 0.0000 3.3595 2.9252
Pt 3.3595 0.0000 2.9252
O 0.0000 0.0000 0.0000
O 0.9993 4.3588 1.4714
O 0.9993 4.3588 4.3791
O 2.3602 0.9993 1.4714
O 2.3602 0.9993 4.3791
O 3.3595 3.3595 0.0000
O 4.3588 5.7197 1.4714
O 4.3588 5.7197 4.3791
O 5.7197 2.3602 1.4714
O 5.7197 2.3602 4.3791
```

Values from the calculation:
Formation energy without anion corrections   -2377 meV per atom

=====

Below is Nd2TlPtO6 after structural relaxation, with properties calculated at the PBE-GGA level.

Cell and atoms, written as extended XYZ:
```
20
Lattice="5.6879 0.0000 0.0000 0.0000 6.2074 0.0000 -5.5466 0.0000 8.4325" Properties=species:S:1:pos:R:3 pbc="T T T"
Nd -0.0623 0.3129 1.9524
Nd -2.8356 2.7908 6.1686
Nd 2.9768 3.4166 2.2639
Nd 0.2035 5.8945 6.4801
Tl -2.7733 0.0000 4.2162
Tl 0.0000 3.1037 0.0000
Pt 2.8439 0.0000 0.0000
Pt 0.0706 3.1037 4.2162
O -4.4764 0.9974 8.1812
O -1.7031 2.1062 3.9649
O -3.6123 4.5877 7.5354
O -0.8389 4.7233 3.3191
O -1.9632 0.6176 6.6269
O 0.8101 2.4861 2.4106
O -0.6689 3.7213 6.0219
O 2.1044 5.5897 1.8056
O 0.9802 1.4840 5.1134
O 3.7535 1.6196 0.8971
O 1.8443 4.1011 4.4676
O 4.6176 5.2099 0.2513
```

Values from the calculation:
Formation energy without anion corrections   -1899 meV per atom

=====

Below is Nd2TlPtO5 after structural relaxation, with properties calculated at the PBE-GGA level.

Cell and atoms, written as extended XYZ:
```
18
Lattice="6.9159 0.0000 0.0000 0.0000 6.9159 0.0000 0.0000 0.0000 5.8911" Properties=species:S:1:pos:R:3 pbc="T T T"
Nd 1.2229 2.2350 0.0000
Nd 2.2350 5.6930 0.0000
Nd 4.6809 1.2229 0.0000
Nd 5.6930 4.6809 0.0000
Tl 0.0000 0.0000 2.9456
Tl 3.4580 3.4580 2.9456
Pt 0.0000 3.4580 2.9456
Pt 3.4580 0.0000 2.9456
O 0.0000 0.0000 0.0000
O 0.9103 4.3683 1.4169
O 0.9103 4.3683 4.4742
O 2.5477 0.9103 1.4169
O 2.5477 0.9103 4.4742
O 3.4580 3.4580 0.0000
O 4.3683 6.0056 1.4169
O 4.3683 6.0056 4.4742
O 6.0056 2.5477 1.4169
O 6.0056 2.5477 4.4742
```

Values from the calculation:
Formation energy without anion corrections   -2046 meV per atom

=====

Below is NdPuO5 after structural relaxation, with properties calculated at the PBE-GGA level.

Cell and atoms, written as extended XYZ:
```
14
Lattice="4.7217 -3.3270 0.0000 4.7217 3.3270 0.0000 -3.5574 0.0000 7.4021" Properties=species:S:1:pos:R:3 pbc="T T T"
Nd 2.0537 3.0138 5.5515
Nd 3.8324 -3.0138 1.8505
Pu 4.7217 0.0000 0.0000
Pu 2.9431 0.0000 3.7010
O 4.5528 1.9751 0.2417
O 3.1120 1.9751 3.4593
O 1.2435 0.0611 2.8674
O -0.5352 -0.0611 6.5684
O 2.0537 0.6394 5.5515
O 3.8324 -0.6394 1.8505
O 6.4213 0.0611 0.8337
O 4.6426 -0.0611 4.5347
O 2.7741 -1.9751 3.9427
O 1.3333 -1.9751 7.1604
```

Values from the calculation:
Formation energy without anion corrections   -2751 meV per atom

=====

Below is Nd2PuO after structural relaxation, with properties calculated at the PBE-GGA level.

Cell and atoms, written as extended XYZ:
```
4
Lattice="3.1961 0.0000 0.0000 0.0000 3.1961 0.0000 0.0000 0.0000 8.8798" Properties=species:S:1:pos:R:3 pbc="T T T"
Nd 0.0000 0.0000 1.5813
Nd 0.0000 0.0000 7.2984
Pu 1.5980 1.5980 4.4399
O 1.5980 1.5980 0.0000
```

Values from the calculation:
Formation energy without anion corrections   -747 meV per atom
Energy relative to the lowest polymorph listed for this composition   0.2657 eV/atom

=====

Below is Nd2PuO8 after structural relaxation, with properties calculated at the PBE-GGA level.

Cell and atoms, written as extended XYZ:
```
11
Lattice="6.7011 -2.1399 0.0000 6.7011 2.1399 0.0000 -1.7659 0.0000 4.7672" Properties=species:S:1:pos:R:3 pbc="T T T"
Nd 1.9096 0.0000 0.7696
Nd 9.7266 0.0000 3.9976
Pu 5.8181 0.0000 2.3836
O -1.2535 0.0000 3.4996
O 1.8880 0.0000 3.2546
O 4.6708 0.0000 0.8811
O 4.0784 0.0000 3.3354
O 7.5579 0.0000 1.4318
O 6.9655 0.0000 3.8861
O 9.7483 0.0000 1.5126
O 12.8898 0.0000 1.2675
```

Values from the calculation:
Formation energy without anion corrections   -2178 meV per atom

=====

Below is Nd2Pu2O7 after structural relaxation, with properties calculated at the PBE-GGA level.

Cell and atoms, written as extended XYZ:
```
22
Lattice="0.0000 5.5160 5.5160 5.5160 0.0000 5.5160 5.5160 5.5160 0.0000" Properties=species:S:1:pos:R:3 pbc="T T T"
Nd 0.0000 0.0000 0.0000
Nd 2.7580 2.7580 0.0000
Nd 2.7580 0.0000 2.7580
Nd 0.0000 2.7580 2.7580
Pu 5.5160 2.7580 2.7580
Pu 2.7580 5.5160 2.7580
Pu 2.7580 2.7580 5.5160
Pu 5.5160 5.5160 5.5160
O 1.3790 1.3790 1.3790
O 4.1370 4.1370 1.7100
O 4.1370 1.7100 4.1370
O 6.5640 4.1370 4.1370
O 6.8950 6.8950 4.4680
O 6.8950 4.4680 6.8950
O 9.3221 6.8950 6.8950
O 1.7100 4.1370 4.1370
O 4.1370 6.5640 4.1370
O 4.1370 4.1370 6.5640
O 4.4680 6.8950 6.8950
O 6.8950 9.3221 6.8950
O 6.8950 6.8950 9.3221
O 9.6530 9.6530 9.6530
```

Values from the calculation:
Formation energy without anion corrections   -3220 meV per atom